## YP2BrO (PBE)

Data for a geometry-optimized YP2BrO structure.

a b c (Å): 5.539 5.539 4.214
angles (deg): 90.00 90.00 90.00
Atoms (fractional coordinates):
Y 0.000 0.000 0.000
P 0.000 0.500 0.000
P 0.500 0.000 0.000
Br 0.500 0.500 0.500
O 0.000 0.000 0.500

relative energy among the computed polymorphs: 0 meV per atom
formation energy from raw total energies: 30 meV/atom

## TaZnRh (PBE)

Data for a geometry-optimized TaZnRh structure.

a b c (Å): 4.251 4.251 4.251
angles (deg): 60.00 60.00 60.00
Atoms (fractional coordinates):
Ta 0.000 0.000 0.000
Zn 0.500 0.500 0.500
Rh 0.250 0.250 0.250

energy of formation: -1 kJ/mol of atoms

## Y6SnSb3 (PBE)

Data for a geometry-optimized Y6SnSb3 structure.

a b c (Å): 9.269 9.269 7.609
angles (deg): 90.00 90.00 106.44
Atoms (fractional coordinates):
Y 0.004 0.996 0.500
Y 0.084 0.535 0.990
Y 0.249 0.751 0.373
Y 0.274 0.375 0.393
Y 0.375 0.274 0.893
Y 0.465 0.916 0.990
Y 0.535 0.084 0.490
Y 0.625 0.726 0.393
Y 0.726 0.625 0.893
Y 0.751 0.249 0.873
Y 0.916 0.465 0.490
Y 0.996 0.004 0.000
Sn 0.170 0.830 0.747
Sn 0.830 0.170 0.247
Sb 0.081 0.284 0.727
Sb 0.284 0.081 0.227
Sb 0.418 0.582 0.088
Sb 0.582 0.418 0.588
Sb 0.716 0.919 0.727
Sb 0.919 0.716 0.227

formation energy from raw total energies: -739 meV/atom

## IrRu2 (PBE)

Data for a geometry-optimized IrRu2 structure.

a b c (Å): 4.418 4.418 2.681
angles (deg): 90.00 90.00 90.00
Atoms (fractional coordinates):
Ir 0.000 0.000 0.000
Ru 0.000 0.500 0.500
Ru 0.500 0.000 0.500

relative energy among the computed polymorphs: 981 meV per atom
energy of formation: 90 kJ/mol of atoms

## AlNi (PBE)

Data for a geometry-optimized AlNi structure.

a b c (Å): 3.974 6.151 6.359
angles (deg): 64.32 71.80 71.25
Atoms (fractional coordinates):
Al 0.000 0.000 0.000
Al 0.128 0.489 0.255
Al 0.346 0.955 0.352
Al 0.654 0.045 0.648
Al 0.872 0.511 0.745
Ni 0.243 0.734 0.779
Ni 0.399 0.259 0.945
Ni 0.500 0.500 0.500
Ni 0.601 0.741 0.055
Ni 0.757 0.266 0.221

energy of formation: -56 kJ/mol of atoms

## Te5W (PBE)

Data for a geometry-optimized Te5W structure.

a b c (Å): 5.660 5.660 7.956
angles (deg): 90.00 90.00 120.00
Atoms (fractional coordinates):
Te 0.000 0.500 0.000
Te 0.333 0.667 0.500
Te 0.500 0.000 0.000
Te 0.500 0.500 0.000
Te 0.667 0.333 0.500
W 0.000 0.000 0.500

relative energy among the computed polymorphs: 1022 meV per atom
formation energy from raw total energies: 1128 meV/atom

## EuBr (PBE)

Data for a geometry-optimized EuBr structure.

a b c (Å): 4.399 4.399 4.399
angles (deg): 60.00 60.00 60.00
Atoms (fractional coordinates):
Eu 0.000 0.000 0.000
Br 0.500 0.500 0.500

formation energy from raw total energies: -1315 meV/atom

## Al2IrOs (PBE)

Data for a geometry-optimized Al2IrOs structure.

a b c (Å): 2.931 4.104 4.821
angles (deg): 90.00 90.00 90.00
Atoms (fractional coordinates):
Al 0.000 0.000 0.000
Al 0.500 0.000 0.500
Ir 0.000 0.500 0.500
Os 0.500 0.500 0.000

relative energy among the computed polymorphs: 419 meV per atom
energy of formation: -28 kJ/mol of atoms

## PaCl6 (PBE)

Data for a geometry-optimized PaCl6 structure.

a b c (Å): 7.707 7.707 7.707
angles (deg): 109.47 109.47 109.47
Atoms (fractional coordinates):
Pa 0.000 0.000 0.000
Cl 0.000 0.287 0.287
Cl 0.000 0.713 0.713
Cl 0.287 0.000 0.287
Cl 0.287 0.287 0.000
Cl 0.713 0.000 0.713
Cl 0.713 0.713 0.000

formation energy from raw total energies: -1442 meV/atom

## Ho2ZnCo5B2 (PBE)

Data for a geometry-optimized Ho2ZnCo5B2 structure.

a b c (Å): 9.013 9.013 3.039
angles (deg): 90.00 90.00 90.00
Atoms (fractional coordinates):
Ho 0.178 0.322 0.000
Ho 0.322 0.822 0.000
Ho 0.678 0.178 0.000
Ho 0.822 0.678 0.000
Zn 0.000 0.000 0.000
Zn 0.500 0.500 0.000
Co 0.000 0.500 0.500
Co 0.068 0.771 0.500
Co 0.229 0.068 0.500
Co 0.271 0.568 0.500
Co 0.432 0.271 0.500
Co 0.500 0.000 0.500
Co 0.568 0.729 0.500
Co 0.729 0.432 0.500
Co 0.771 0.932 0.500
Co 0.932 0.229 0.500
B 0.119 0.619 0.000
B 0.381 0.119 0.000
B 0.619 0.881 0.000
B 0.881 0.381 0.000

energy of formation: -32 kJ/mol of atoms

## Cs2NaGdCl6 (PBE)

Data for a geometry-optimized Cs2NaGdCl6 structure.

a b c (Å): 7.748 7.748 7.748
angles (deg): 60.00 60.00 60.00
Atoms (fractional coordinates):
Cs 0.250 0.250 0.250
Cs 0.750 0.750 0.750
Na 0.000 0.000 0.000
Gd 0.500 0.500 0.500
Cl 0.256 0.256 0.744
Cl 0.256 0.744 0.256
Cl 0.256 0.744 0.744
Cl 0.744 0.256 0.256
Cl 0.744 0.256 0.744
Cl 0.744 0.744 0.256

formation energy from raw total energies: -2136 meV/atom

## Dy2BeCo5Si2 (PBE)

Data for a geometry-optimized Dy2BeCo5Si2 structure.

a b c (Å): 9.357 9.357 3.162
angles (deg): 90.00 90.00 90.00
Atoms (fractional coordinates):
Dy 0.175 0.325 0.000
Dy 0.325 0.825 0.000
Dy 0.675 0.175 0.000
Dy 0.825 0.675 0.000
Be 0.000 0.000 0.000
Be 0.500 0.500 0.000
Co 0.000 0.500 0.500
Co 0.063 0.794 0.500
Co 0.206 0.063 0.500
Co 0.294 0.563 0.500
Co 0.437 0.294 0.500
Co 0.500 0.000 0.500
Co 0.563 0.706 0.500
Co 0.706 0.437 0.500
Co 0.794 0.937 0.500
Co 0.937 0.206 0.500
Si 0.124 0.624 0.000
Si 0.376 0.124 0.000
Si 0.624 0.876 0.000
Si 0.876 0.376 0.000

formation energy from raw total energies: -301 meV/atom

## La3CoGe (PBE)

Data for a geometry-optimized La3CoGe structure.

a b c (Å): 5.519 6.615 9.125
angles (deg): 110.91 90.13 114.50
Atoms (fractional coordinates):
La 0.097 0.193 0.231
La 0.167 0.330 0.633
La 0.373 0.748 0.106
La 0.627 0.252 0.894
La 0.833 0.670 0.367
La 0.903 0.807 0.769
Co 0.129 0.257 0.927
Co 0.871 0.743 0.073
Ge 0.403 0.809 0.546
Ge 0.597 0.191 0.454

relative energy among the computed polymorphs: 78 meV per atom
energy of formation: -32 kJ/mol of atoms

## K2AsOs (PBE)

Data for a geometry-optimized K2AsOs structure.

a b c (Å): 4.150 4.150 9.852
angles (deg): 101.74 101.74 59.91
Atoms (fractional coordinates):
K 0.000 0.000 0.000
K 0.171 0.171 0.530
As 0.752 0.752 0.265
Os 0.419 0.419 0.265

energy of formation: 18 kJ/mol of atoms

## U2FeH (PBE)

Data for a geometry-optimized U2FeH structure.

a b c (Å): 8.549 8.549 8.549
angles (deg): 20.26 20.26 20.26
Atoms (fractional coordinates):
U 0.082 0.082 0.082
U 0.918 0.918 0.918
Fe 0.500 0.500 0.500
H 0.000 0.000 0.000

## NaSr4As4 (PBE)

Data for a geometry-optimized NaSr4As4 structure.

a b c (Å): 7.833 15.982 8.275
angles (deg): 90.00 90.00 90.00
Atoms (fractional coordinates):
Na 0.188 0.250 0.018
Na 0.312 0.750 0.518
Na 0.688 0.250 0.482
Na 0.812 0.750 0.982
Sr 0.001 0.096 0.308
Sr 0.001 0.404 0.308
Sr 0.143 0.623 0.170
Sr 0.143 0.877 0.170
Sr 0.357 0.123 0.670
Sr 0.357 0.377 0.670
Sr 0.499 0.596 0.808
Sr 0.499 0.904 0.808
Sr 0.501 0.096 0.192
Sr 0.501 0.404 0.192
Sr 0.643 0.623 0.330
Sr 0.643 0.877 0.330
Sr 0.857 0.123 0.830
Sr 0.857 0.377 0.830
Sr 0.999 0.596 0.692
Sr 0.999 0.904 0.692
As 0.057 0.250 0.586
As 0.194 0.038 0.965
As 0.194 0.462 0.965
As 0.209 0.750 0.874
As 0.291 0.250 0.374
As 0.306 0.538 0.465
As 0.306 0.962 0.465
As 0.443 0.750 0.086
As 0.557 0.250 0.914
As 0.694 0.038 0.535
As 0.694 0.462 0.535
As 0.709 0.750 0.626
As 0.791 0.250 0.126
As 0.806 0.538 0.035
As 0.806 0.962 0.035
As 0.943 0.750 0.414

energy of formation: -95 kJ/mol of atoms

## Pm2ErInO (PBE)

Data for a geometry-optimized Pm2ErInO structure.

a b c (Å): 4.972 4.972 4.694
angles (deg): 90.00 90.00 90.00
Atoms (fractional coordinates):
Pm 0.000 0.500 0.000
Pm 0.500 0.000 0.000
Er 0.000 0.000 0.500
In 0.500 0.500 0.500
O 0.000 0.000 0.000

formation energy from raw total energies: -1416 meV/atom

## SbPOs2 (PBE)

Data for a geometry-optimized SbPOs2 structure.

a b c (Å): 3.034 3.034 6.707
angles (deg): 90.00 90.00 90.00
Atoms (fractional coordinates):
Sb 0.000 0.000 0.000
P 0.000 0.000 0.500
Os 0.500 0.500 0.295
Os 0.500 0.500 0.705

relative energy among the computed polymorphs: 289 meV per atom
formation energy from raw total energies: 384 meV/atom

## CaGa2Rh2 (PBE)

Data for a geometry-optimized CaGa2Rh2 structure.

a b c (Å): 7.486 7.486 2.949
angles (deg): 90.00 90.00 90.00
Atoms (fractional coordinates):
Ca 0.000 0.000 0.000
Ca 0.500 0.500 0.000
Ga 0.127 0.373 0.000
Ga 0.373 0.873 0.000
Ga 0.627 0.127 0.000
Ga 0.873 0.627 0.000
Rh 0.168 0.668 0.500
Rh 0.332 0.168 0.500
Rh 0.668 0.832 0.500
Rh 0.832 0.332 0.500

energy of formation: -63 kJ/mol of atoms

## CsNa2CdSb (PBE)

Data for a geometry-optimized CsNa2CdSb structure.

a b c (Å): 6.015 6.015 6.036
angles (deg): 90.00 90.00 90.00
Atoms (fractional coordinates):
Cs 0.000 0.000 0.000
Na 0.000 0.500 0.500
Na 0.500 0.000 0.500
Cd 0.500 0.500 0.000
Sb 0.500 0.500 0.500

formation energy from raw total energies: -145 meV/atom

Number 1: density 3.169 g/cm³, E_tot -23.765 eV per formula unit. Number 2: density 10.679 g/cm³, E_tot -20.522 eV per formula unit. Number 3: density 5.389 g/cm³, E_tot -62.540 eV per formula unit. Number 4: density 12.513 g/cm³, E_tot -24.618 eV per formula unit. Number 5: density 5.476 g/cm³, E_tot -10.678 eV per formula unit. Number 6: density 6.182 g/cm³, E_tot -21.891 eV per formula unit. Number 7: density 6.397 g/cm³, E_tot -14.577 eV per formula unit. Number 8: density 12.497 g/cm³, E_tot -28.722 eV per formula unit. Number 9: density 2.091 g/cm³, E_tot -30.668 eV per formula unit. Number 10: density 9.574 g/cm³, E_tot -62.623 eV per formula unit. Number 11: density 3.326 g/cm³, E_tot -49.549 eV per formula unit. Number 12: density 8.215 g/cm³, E_tot -62.312 eV per formula unit. Number 13: density 6.533 g/cm³, E_tot -28.184 eV per formula unit. Number 14: density 3.996 g/cm³, E_tot -17.315 eV per formula unit. Number 15: density 13.498 g/cm³, E_tot -32.622 eV per formula unit. Number 16: density 4.316 g/cm³, E_tot -35.477 eV per formula unit. Number 17: density 8.417 g/cm³, E_tot -28.839 eV per formula unit. Number 18: density 14.337 g/cm³, E_tot -30.455 eV per formula unit. Number 19: density 7.743 g/cm³, E_tot -26.027 eV per formula unit. Number 20: density 3.141 g/cm³, E_tot -9.254 eV per formula unit.